This record from Alexandria via LeMat-Bulk describes an optimized crystal structure of Eu3Sn5O12. The functional is PBE-GGA.

The structure in CIF format:
```
data_Eu3Sn5O12
_chemical_formula_sum 'Eu12 Sn20 O48'
_symmetry_space_group_name_H-M 'P 1'
_symmetry_Int_Tables_number 1
_cell_length_a 11.727
_cell_length_b 11.727
_cell_length_c 11.727
_cell_angle_alpha 109.47
_cell_angle_beta 109.47
_cell_angle_gamma 109.47
loop_
_symmetry_equiv_pos_as_xyz
'x,y,z'
loop_
_atom_site_label
_atom_site_type_symbol
_atom_site_fract_x
_atom_site_fract_y
_atom_site_fract_z
Eu1 Eu 0.750 0.375 0.125
Eu2 Eu 0.875 0.750 0.125
Eu3 Eu 0.375 0.750 0.625
Eu4 Eu 0.250 0.125 0.375
Eu5 Eu 0.875 0.125 0.250
Eu6 Eu 0.375 0.625 0.250
Eu7 Eu 0.625 0.375 0.750
Eu8 Eu 0.125 0.875 0.750
Eu9 Eu 0.750 0.875 0.625
Eu10 Eu 0.625 0.250 0.375
Eu11 Eu 0.125 0.250 0.875
Eu12 Eu 0.250 0.625 0.875
Sn1 Sn 0.125 0.375 0.250
Sn2 Sn 0.000 0.500 0.000
Sn3 Sn 0.000 0.000 0.000
Sn4 Sn 0.375 0.250 0.125
Sn5 Sn 0.500 0.000 0.500
Sn6 Sn 0.500 0.500 0.000
Sn7 Sn 0.125 0.750 0.375
Sn8 Sn 0.750 0.125 0.875
Sn9 Sn 0.750 0.625 0.375
Sn10 Sn 0.375 0.125 0.750
Sn11 Sn 0.625 0.875 0.250
Sn12 Sn 0.500 0.500 0.500
Sn13 Sn 0.500 0.000 0.000
Sn14 Sn 0.000 0.000 0.500
Sn15 Sn 0.250 0.375 0.625
Sn16 Sn 0.250 0.875 0.125
Sn17 Sn 0.000 0.500 0.500
Sn18 Sn 0.875 0.250 0.625
Sn19 Sn 0.625 0.750 0.875
Sn20 Sn 0.875 0.625 0.750
O1 O 0.700 0.122 0.028
O2 O 0.328 0.528 0.406
O3 O 0.972 0.378 0.300
O4 O 0.528 0.200 0.122
O5 O 0.578 0.700 0.672
O6 O 0.972 0.594 0.172
O7 O 0.328 0.800 0.422
O8 O 0.094 0.922 0.122
O9 O 0.594 0.972 0.672
O10 O 0.700 0.578 0.172
O11 O 0.800 0.472 0.378
O12 O 0.828 0.906 0.028
O13 O 0.122 0.700 0.528
O14 O 0.378 0.406 0.078
O15 O 0.078 0.906 0.378
O16 O 0.422 0.122 0.594
O17 O 0.078 0.172 0.200
O18 O 0.472 0.672 0.094
O19 O 0.828 0.922 0.300
O20 O 0.122 0.422 0.094
O21 O 0.378 0.972 0.800
O22 O 0.594 0.622 0.422
O23 O 0.906 0.828 0.528
O24 O 0.800 0.328 0.922
O25 O 0.406 0.378 0.578
O26 O 0.094 0.172 0.472
O27 O 0.200 0.672 0.078
O28 O 0.172 0.078 0.700
O29 O 0.622 0.028 0.200
O30 O 0.878 0.578 0.906
O31 O 0.528 0.328 0.906
O32 O 0.578 0.878 0.406
O33 O 0.922 0.828 0.800
O34 O 0.922 0.094 0.622
O35 O 0.878 0.300 0.472
O36 O 0.172 0.094 0.972
O37 O 0.622 0.594 0.922
O38 O 0.406 0.028 0.328
O39 O 0.300 0.422 0.828
O40 O 0.200 0.528 0.622
O41 O 0.906 0.078 0.878
O42 O 0.672 0.200 0.578
O43 O 0.472 0.800 0.878
O44 O 0.028 0.406 0.828
O45 O 0.422 0.300 0.328
O46 O 0.028 0.622 0.700
O47 O 0.672 0.472 0.594
O48 O 0.300 0.878 0.972
```

Computed properties:
Its space group is Ia-3d, No. 230.

***

This record from Alexandria via LeMat-Bulk describes an optimized crystal structure of Eu2Sn2O7. The functional is PBE-GGA.

The structure in CIF format:
```
data_Eu2Sn2O7
_chemical_formula_sum 'Eu4 Sn4 O14'
_symmetry_space_group_name_H-M 'P 1'
_symmetry_Int_Tables_number 1
_cell_length_a 7.535
_cell_length_b 7.535
_cell_length_c 7.535
_cell_angle_alpha 60.00
_cell_angle_beta 60.00
_cell_angle_gamma 60.00
loop_
_symmetry_equiv_pos_as_xyz
'x,y,z'
loop_
_atom_site_label
_atom_site_type_symbol
_atom_site_fract_x
_atom_site_fract_y
_atom_site_fract_z
Eu1 Eu 0.625 0.625 0.625
Eu2 Eu 0.625 0.125 0.625
Eu3 Eu 0.625 0.625 0.125
Eu4 Eu 0.125 0.625 0.625
Sn1 Sn 0.125 0.125 0.125
Sn2 Sn 0.125 0.625 0.125
Sn3 Sn 0.125 0.125 0.625
Sn4 Sn 0.625 0.125 0.125
O1 O 0.459 0.459 0.041
O2 O 0.791 0.209 0.791
O3 O 0.209 0.791 0.209
O4 O 0.209 0.209 0.791
O5 O 0.209 0.791 0.791
O6 O 0.791 0.209 0.209
O7 O 0.041 0.459 0.459
O8 O 0.459 0.041 0.459
O9 O 0.041 0.459 0.041
O10 O 0.459 0.041 0.041
O11 O 0.791 0.791 0.209
O12 O 0.041 0.041 0.459
O13 O 0.500 0.500 0.500
O14 O 0.750 0.750 0.750
```

Computed properties:
Its space group is Fd-3m, No. 227.

***

This record from Alexandria via LeMat-Bulk describes an optimized crystal structure of Eu2SnO. The functional is PBE-GGA.

The structure in CIF format:
```
data_Eu2SnO
_chemical_formula_sum 'Eu2 Sn1 O1'
_symmetry_space_group_name_H-M 'P 1'
_symmetry_Int_Tables_number 1
_cell_length_a 3.708
_cell_length_b 3.708
_cell_length_c 8.294
_cell_angle_alpha 77.08
_cell_angle_beta 77.08
_cell_angle_gamma 60.00
loop_
_symmetry_equiv_pos_as_xyz
'x,y,z'
loop_
_atom_site_label
_atom_site_type_symbol
_atom_site_fract_x
_atom_site_fract_y
_atom_site_fract_z
Eu1 Eu 0.775 0.775 0.675
Eu2 Eu 0.225 0.225 0.325
Sn1 Sn 0.000 0.000 0.000
O1 O 0.500 0.500 0.500
```

Computed properties:
Its space group is R-3m, No. 166.

***

This record from Alexandria via LeMat-Bulk describes an optimized crystal structure of EuSnO2. The functional is PBE-GGA.

The structure in CIF format:
```
data_EuSnO2
_chemical_formula_sum 'Eu1 Sn1 O2'
_symmetry_space_group_name_H-M 'P 1'
_symmetry_Int_Tables_number 1
_cell_length_a 3.594
_cell_length_b 3.594
_cell_length_c 7.081
_cell_angle_alpha 75.30
_cell_angle_beta 75.30
_cell_angle_gamma 60.00
loop_
_symmetry_equiv_pos_as_xyz
'x,y,z'
loop_
_atom_site_label
_atom_site_type_symbol
_atom_site_fract_x
_atom_site_fract_y
_atom_site_fract_z
Eu1 Eu 0.500 0.500 0.500
Sn1 Sn 0.000 0.000 0.000
O1 O 0.108 0.108 0.675
O2 O 0.892 0.892 0.325
```

Computed properties:
Its space group is R-3m, No. 166.

***

This record from Alexandria via LeMat-Bulk describes an optimized crystal structure of Eu2SnO. The functional is PBE-GGA.

The structure in CIF format:
```
data_Eu2SnO
_chemical_formula_sum 'Eu2 Sn1 O1'
_symmetry_space_group_name_H-M 'P 1'
_symmetry_Int_Tables_number 1
_cell_length_a 3.270
_cell_length_b 3.270
_cell_length_c 8.070
_cell_angle_alpha 90.00
_cell_angle_beta 90.00
_cell_angle_gamma 90.00
loop_
_symmetry_equiv_pos_as_xyz
'x,y,z'
loop_
_atom_site_label
_atom_site_type_symbol
_atom_site_fract_x
_atom_site_fract_y
_atom_site_fract_z
Eu1 Eu 0.000 0.000 0.811
Eu2 Eu 0.000 0.000 0.189
Sn1 Sn 0.500 0.500 0.500
O1 O 0.500 0.500 0.000
```

Computed properties:
Its space group is P4/mmm, No. 123.

***

This record from Alexandria via LeMat-Bulk describes an optimized crystal structure of SrEuTiSnO6. The functional is PBE-GGA.

The structure in CIF format:
```
data_SrEuTiSnO6
_chemical_formula_sum 'Sr1 Eu1 Ti1 Sn1 O6'
_symmetry_space_group_name_H-M 'P 1'
_symmetry_Int_Tables_number 1
_cell_length_a 5.691
_cell_length_b 5.691
_cell_length_c 5.691
_cell_angle_alpha 60.00
_cell_angle_beta 60.00
_cell_angle_gamma 60.00
loop_
_symmetry_equiv_pos_as_xyz
'x,y,z'
loop_
_atom_site_label
_atom_site_type_symbol
_atom_site_fract_x
_atom_site_fract_y
_atom_site_fract_z
Sr1 Sr 0.250 0.250 0.250
Eu1 Eu 0.750 0.750 0.750
Ti1 Ti 0.500 0.500 0.500
Sn1 Sn 0.000 0.000 0.000
O1 O 0.256 0.744 0.256
O2 O 0.744 0.256 0.744
O3 O 0.256 0.744 0.744
O4 O 0.744 0.256 0.256
O5 O 0.256 0.256 0.744
O6 O 0.744 0.744 0.256
```

Computed properties:
Its space group is F-43m, No. 216.

***

Number 1: ΔE_f (raw) -1.943 eV per atom. Number 2: ΔE_f (raw) -2.226 eV per atom. Number 3: ΔE_f (raw) -1.600 eV per atom. Number 4: ΔE_f (raw) -1.965 eV per atom. Number 5: ΔE_f (raw) -1.362 eV per atom. Number 6: ΔE_f (raw) -2.633 eV per atom.